5
Lattice="-1.450 4.540 -1.154 -1.487 -1.592 -4.393 -4.442 -0.949 1.847" Properties=species:S:1:pos:R:3 comment="SrMo3Pd PBE optimized geometry" polymorph_energy_ev_per_fu=0.00 dos_ef_per_ev_cell=8.016 energy_ev_per_atom=-6.21 formation_energy_ev_per_atom=1.6672 magmom_total_mub_per_cell=2.6 pbc="T T T"
Sr -3.689 1.000 -1.850
Mo -0.743 -0.796 -2.197
Mo -2.221 -0.475 0.924
Mo -0.725 2.270 -0.577
Pd 0.000 0.000 0.000